# GdHoBeAu (PBE, optimized geometry)
# energy of formation: -0.323 eV per atom
# DFT total energy: -6.74 eV/atom
# D(E_F): 0.82 states/eV per atom
data_GdHoBeAu
_cell_length_a 5.011
_cell_length_b 5.011
_cell_length_c 5.011
_cell_angle_alpha 60.00
_cell_angle_beta 60.00
_cell_angle_gamma 60.00
_space_group_name_H-M_alt 'P 1'
_space_group_IT_number 1
loop_
_space_group_symop_operation_xyz
'x,y,z'
loop_
_atom_site_label
_atom_site_fract_x
_atom_site_fract_y
_atom_site_fract_z
Gd1 0.000 0.000 0.000
Ho1 0.500 0.500 0.500
Be1 0.250 0.250 0.250
Au1 0.750 0.750 0.750


# PmGdBeAu (PBE, optimized geometry)
# energy of formation: -0.277 eV per atom
# DFT total energy: -6.74 eV/atom
# D(E_F): 0.67 states/eV per atom
data_PmGdBeAu
_cell_length_a 5.094
_cell_length_b 5.094
_cell_length_c 5.094
_cell_angle_alpha 60.00
_cell_angle_beta 60.00
_cell_angle_gamma 60.00
_space_group_name_H-M_alt 'P 1'
_space_group_IT_number 1
loop_
_space_group_symop_operation_xyz
'x,y,z'
loop_
_atom_site_label
_atom_site_fract_x
_atom_site_fract_y
_atom_site_fract_z
Pm1 0.000 0.000 0.000
Gd1 0.500 0.500 0.500
Be1 0.250 0.250 0.250
Au1 0.750 0.750 0.750


# TbGdBeAu (PBE, optimized geometry)
# energy of formation: -0.312 eV per atom
# DFT total energy: -6.74 eV/atom
# D(E_F): 0.74 states/eV per atom
data_TbGdBeAu
_cell_length_a 5.035
_cell_length_b 5.035
_cell_length_c 5.035
_cell_angle_alpha 60.00
_cell_angle_beta 60.00
_cell_angle_gamma 60.00
_space_group_name_H-M_alt 'P 1'
_space_group_IT_number 1
loop_
_space_group_symop_operation_xyz
'x,y,z'
loop_
_atom_site_label
_atom_site_fract_x
_atom_site_fract_y
_atom_site_fract_z
Tb1 0.000 0.000 0.000
Gd1 0.500 0.500 0.500
Be1 0.250 0.250 0.250
Au1 0.750 0.750 0.750


# GdYBeAu (PBE, optimized geometry)
# energy of formation: -0.321 eV per atom
# DFT total energy: -7.21 eV/atom
# D(E_F): 0.86 states/eV per atom
data_GdYBeAu
_cell_length_a 5.030
_cell_length_b 5.030
_cell_length_c 5.030
_cell_angle_alpha 60.00
_cell_angle_beta 60.00
_cell_angle_gamma 60.00
_space_group_name_H-M_alt 'P 1'
_space_group_IT_number 1
loop_
_space_group_symop_operation_xyz
'x,y,z'
loop_
_atom_site_label
_atom_site_fract_x
_atom_site_fract_y
_atom_site_fract_z
Gd1 0.000 0.000 0.000
Y1 0.500 0.500 0.500
Be1 0.750 0.750 0.750
Au1 0.250 0.250 0.250


# BeGeAu2 (PBE, optimized geometry)
# relative energy among the computed polymorphs: 82 meV per atom
# energy of formation: 0.082 eV per atom
# DFT total energy: -3.64 eV/atom
# D(E_F): 0.26 states/eV per atom
data_BeGeAu2
_cell_length_a 6.686
_cell_length_b 6.686
_cell_length_c 6.686
_cell_angle_alpha 30.63
_cell_angle_beta 30.63
_cell_angle_gamma 30.63
_space_group_name_H-M_alt 'P 1'
_space_group_IT_number 1
loop_
_space_group_symop_operation_xyz
'x,y,z'
loop_
_atom_site_label
_atom_site_fract_x
_atom_site_fract_y
_atom_site_fract_z
Be1 0.000 0.000 0.000
Ge1 0.500 0.500 0.500
Au1 0.268 0.268 0.268
Au2 0.732 0.732 0.732


# Be2GeAu8 (PBE, optimized geometry)
# energy of formation: -0.037 eV per atom
# DFT total energy: -3.52 eV/atom
# D(E_F): 0.30 states/eV per atom
data_Be2GeAu8
_cell_length_a 6.736
_cell_length_b 6.736
_cell_length_c 4.577
_cell_angle_alpha 99.43
_cell_angle_beta 99.43
_cell_angle_gamma 111.76
_space_group_name_H-M_alt 'P 1'
_space_group_IT_number 1
loop_
_space_group_symop_operation_xyz
'x,y,z'
loop_
_atom_site_label
_atom_site_fract_x
_atom_site_fract_y
_atom_site_fract_z
Be1 0.181 0.819 0.000
Be2 0.819 0.181 0.000
Ge1 0.500 0.500 0.500
Au1 0.118 0.118 0.316
Au2 0.170 0.433 0.914
Au3 0.253 0.747 0.500
Au4 0.433 0.170 0.914
Au5 0.567 0.830 0.086
Au6 0.747 0.253 0.500
Au7 0.830 0.567 0.086
Au8 0.882 0.882 0.684


# Be2Ge2Au (PBE, optimized geometry)
# energy of formation: 0.243 eV per atom
# DFT total energy: -3.75 eV/atom
# D(E_F): 0.47 states/eV per atom
data_Be2Ge2Au
_cell_length_a 6.298
_cell_length_b 6.298
_cell_length_c 3.686
_cell_angle_alpha 90.00
_cell_angle_beta 90.00
_cell_angle_gamma 90.00
_space_group_name_H-M_alt 'P 1'
_space_group_IT_number 1
loop_
_space_group_symop_operation_xyz
'x,y,z'
loop_
_atom_site_label
_atom_site_fract_x
_atom_site_fract_y
_atom_site_fract_z
Be1 0.127 0.373 0.000
Be2 0.373 0.873 0.000
Be3 0.627 0.127 0.000
Be4 0.873 0.627 0.000
Ge1 0.162 0.662 0.500
Ge2 0.338 0.162 0.500
Ge3 0.662 0.838 0.500
Ge4 0.838 0.338 0.500
Au1 0.000 0.000 0.000
Au2 0.500 0.500 0.000


# BeGe2Au2 (PBE, optimized geometry)
# relative energy among the computed polymorphs: 0 meV per atom
# energy of formation: 0.229 eV per atom
# DFT total energy: -3.67 eV/atom
# D(E_F): 0.33 states/eV per atom
data_BeGe2Au2
_cell_length_a 6.533
_cell_length_b 6.533
_cell_length_c 4.275
_cell_angle_alpha 90.00
_cell_angle_beta 90.00
_cell_angle_gamma 90.00
_space_group_name_H-M_alt 'P 1'
_space_group_IT_number 1
loop_
_space_group_symop_operation_xyz
'x,y,z'
loop_
_atom_site_label
_atom_site_fract_x
_atom_site_fract_y
_atom_site_fract_z
Be1 0.000 0.000 0.000
Be2 0.500 0.500 0.000
Ge1 0.148 0.352 0.500
Ge2 0.352 0.852 0.500
Ge3 0.648 0.148 0.500
Ge4 0.852 0.648 0.500
Au1 0.176 0.676 0.000
Au2 0.324 0.176 0.000
Au3 0.676 0.824 0.000
Au4 0.824 0.324 0.000


# BeGeAu (PBE, optimized geometry)
# energy of formation: 0.081 eV per atom
# DFT total energy: -3.79 eV/atom
# D(E_F): 0.59 states/eV per atom
data_BeGeAu
_cell_length_a 4.061
_cell_length_b 4.061
_cell_length_c 4.061
_cell_angle_alpha 60.00
_cell_angle_beta 60.00
_cell_angle_gamma 60.00
_space_group_name_H-M_alt 'P 1'
_space_group_IT_number 1
loop_
_space_group_symop_operation_xyz
'x,y,z'
loop_
_atom_site_label
_atom_site_fract_x
_atom_site_fract_y
_atom_site_fract_z
Be1 0.000 0.000 0.000
Ge1 0.250 0.250 0.250
Au1 0.750 0.750 0.750


# BeGe3Au (PBE, optimized geometry)
# relative energy among the computed polymorphs: 0 meV per atom
# energy of formation: 0.426 eV per atom
# DFT total energy: -3.75 eV/atom
# D(E_F): 0.59 states/eV per atom
data_BeGe3Au
_cell_length_a 4.511
_cell_length_b 4.511
_cell_length_c 4.511
_cell_angle_alpha 90.00
_cell_angle_beta 90.00
_cell_angle_gamma 90.00
_space_group_name_H-M_alt 'P 1'
_space_group_IT_number 1
loop_
_space_group_symop_operation_xyz
'x,y,z'
loop_
_atom_site_label
_atom_site_fract_x
_atom_site_fract_y
_atom_site_fract_z
Be1 0.000 0.000 0.000
Ge1 0.000 0.000 0.500
Ge2 0.000 0.500 0.000
Ge3 0.500 0.000 0.000
Au1 0.500 0.500 0.500


# BeGeAu2 (PBE, optimized geometry)
# relative energy among the computed polymorphs: 209 meV per atom
# energy of formation: 0.208 eV per atom
# DFT total energy: -3.52 eV/atom
# D(E_F): 0.46 states/eV per atom
data_BeGeAu2
_cell_length_a 4.502
_cell_length_b 4.502
_cell_length_c 4.502
_cell_angle_alpha 60.00
_cell_angle_beta 60.00
_cell_angle_gamma 60.00
_space_group_name_H-M_alt 'P 1'
_space_group_IT_number 1
loop_
_space_group_symop_operation_xyz
'x,y,z'
loop_
_atom_site_label
_atom_site_fract_x
_atom_site_fract_y
_atom_site_fract_z
Be1 0.000 0.000 0.000
Ge1 0.500 0.500 0.500
Au1 0.250 0.250 0.250
Au2 0.750 0.750 0.750


# BeGeAu2 (PBE, optimized geometry)
# relative energy among the computed polymorphs: 0 meV per atom
# energy of formation: -0.001 eV per atom
# DFT total energy: -3.73 eV/atom
# D(E_F): 0.19 states/eV per atom
data_BeGeAu2
_cell_length_a 2.847
_cell_length_b 2.847
_cell_length_c 8.037
_cell_angle_alpha 90.00
_cell_angle_beta 90.00
_cell_angle_gamma 90.00
_space_group_name_H-M_alt 'P 1'
_space_group_IT_number 1
loop_
_space_group_symop_operation_xyz
'x,y,z'
loop_
_atom_site_label
_atom_site_fract_x
_atom_site_fract_y
_atom_site_fract_z
Be1 0.000 0.000 0.000
Ge1 0.000 0.000 0.500
Au1 0.500 0.500 0.189
Au2 0.500 0.500 0.811


# BeGe2Au (PBE, optimized geometry)
# energy of formation: 0.227 eV per atom
# DFT total energy: -3.83 eV/atom
# D(E_F): 0.43 states/eV per atom
data_BeGe2Au
_cell_length_a 8.529
_cell_length_b 8.529
_cell_length_c 8.529
_cell_angle_alpha 151.80
_cell_angle_beta 151.80
_cell_angle_gamma 40.31
_space_group_name_H-M_alt 'P 1'
_space_group_IT_number 1
loop_
_space_group_symop_operation_xyz
'x,y,z'
loop_
_atom_site_label
_atom_site_fract_x
_atom_site_fract_y
_atom_site_fract_z
Be1 0.000 0.000 0.000
Be2 0.750 0.250 0.500
Ge1 0.081 0.625 0.956
Ge2 0.375 0.331 0.456
Ge3 0.669 0.125 0.044
Ge4 0.875 0.919 0.544
Au1 0.250 0.750 0.500
Au2 0.500 0.500 0.000